[1]
! Sn2Hg2Te PBE relaxed; values from VASP
! E_form (uncorrected) in eV per atom: 0.039
! DOS at the Fermi energy in states/eV/f.u.: 2.7
! Magnetic moment in μB/f.u.: 0.00
! Uncorrected energy in eV/atom: -2.312
&SYSTEM
  ibrav = 0, nat = 10, ntyp = 3
/
ATOMIC_SPECIES
Sn 118.71 Sn.upf
Hg 200.59 Hg.upf
Te 127.60 Te.upf
ATOMIC_POSITIONS crystal
Sn 0.000 0.000 0.095
Sn 0.000 0.000 0.905
Sn 0.500 0.500 0.405
Sn 0.500 0.500 0.595
Hg 0.000 0.500 0.250
Hg 0.000 0.500 0.750
Hg 0.500 0.000 0.250
Hg 0.500 0.000 0.750
Te 0.000 0.000 0.500
Te 0.500 0.500 0.000
CELL_PARAMETERS angstrom
4.253 0.000 0.000
0.000 4.253 0.000
0.000 0.000 16.124

---

[2]
! Na2ZnGaGe PBE relaxed; values from VASP
! DFT formation energy in eV/atom: 0.26
! DOS at the Fermi energy in states/eV/f.u.: 2.6
! Magnetic moment in μB/f.u.: 0.00
! Uncorrected energy in eV/atom: -2.050
&SYSTEM
  ibrav = 0, nat = 5, ntyp = 4
/
ATOMIC_SPECIES
Na 22.99 Na.upf
Zn 65.41 Zn.upf
Ga 69.72 Ga.upf
Ge 72.64 Ge.upf
ATOMIC_POSITIONS crystal
Na 0.000 0.500 0.000
Na 0.500 0.000 0.000
Zn 0.000 0.000 0.000
Ga 0.500 0.500 0.500
Ge 0.000 0.000 0.500
CELL_PARAMETERS angstrom
5.457 0.000 0.000
0.000 5.457 0.000
0.000 0.000 4.685

---

[3]
! La3ZnN PBE relaxed; values from VASP
! E_form (uncorrected) in eV per atom: -0.276
! DOS at the Fermi energy in states/eV/f.u.: 3.1
! Magnetic moment in μB/f.u.: 0.00
! Uncorrected energy in eV/atom: -5.152
&SYSTEM
  ibrav = 0, nat = 10, ntyp = 3
/
ATOMIC_SPECIES
La 138.91 La.upf
Zn 65.41 Zn.upf
N 14.01 N.upf
ATOMIC_POSITIONS crystal
La 0.127 0.127 0.000
La 0.355 0.613 0.742
La 0.387 0.128 0.742
La 0.387 0.645 0.258
La 0.872 0.613 0.258
La 0.873 0.873 0.000
Zn 0.640 0.140 0.500
Zn 0.860 0.360 0.500
N 0.250 0.750 0.500
N 0.500 0.500 0.000
CELL_PARAMETERS angstrom
-3.515 3.515 6.202
3.515 -3.515 6.202
3.515 3.515 -6.202

---

[4]
! Sm4YHoS8 PBE relaxed; values from VASP
! E_form (uncorrected) in eV per atom: -1.923
! DOS at the Fermi energy in states/eV/f.u.: 8.3
! Magnetic moment in μB/f.u.: 0.00
! Uncorrected energy in eV/atom: -6.419
&SYSTEM
  ibrav = 0, nat = 14, ntyp = 4
/
ATOMIC_SPECIES
Sm 150.36 Sm.upf
Y 88.91 Y.upf
Ho 164.93 Ho.upf
S 32.06 S.upf
ATOMIC_POSITIONS crystal
Sm 0.000 0.000 0.000
Sm 0.377 0.377 0.874
Sm 0.377 0.874 0.377
Sm 0.874 0.377 0.377
Y 0.752 0.752 0.752
Ho 0.376 0.376 0.376
S 0.133 0.133 0.133
S 0.139 0.139 0.599
S 0.139 0.599 0.139
S 0.146 0.615 0.615
S 0.599 0.139 0.139
S 0.615 0.146 0.615
S 0.615 0.615 0.146
S 0.621 0.621 0.621
CELL_PARAMETERS angstrom
4.091 2.362 6.654
-4.091 2.362 6.654
0.000 -4.724 6.654